{"formula": "Pm3Pr2Dy", "functional": "PBE", "state": "optimized geometry", "total_magnetization_mub_per_cell": 0.00, "formation_enthalpy_0k_ev_per_atom": 0.24, "lattice_angstrom": [[3.441, 0.000, 0.000], [0.000, 6.825, 0.000], [0.000, 0.000, 17.928]], "species": ["Pm", "Pm", "Pm", "Pm", "Pm", "Pm", "Pr", "Pr", "Pr", "Pr", "Dy", "Dy"], "frac_coords": [[0.000, 0.000, 0.000], [0.500, 0.500, 0.500], [0.500, 0.743, 0.823], [0.500, 0.257, 0.177], [0.000, 0.243, 0.677], [0.000, 0.757, 0.323], [0.500, 0.763, 0.151], [0.000, 0.263, 0.349], [0.000, 0.737, 0.651], [0.500, 0.237, 0.849], [0.000, 0.000, 0.500], [0.500, 0.500, 0.000]]}